Entry 1:
Ac2Cd5Cu | GGA-PBE | relaxed

Lattice parameters (Å, degrees): 4.8659 9.2914 10.0325 90.00 90.00 105.18
Last column: nearest neighbours and their distance in Å.
Fractional coordinates of all 16 atoms:
Ac: 0.8059 0.6118 0.7500  10 Cd 3.42-3.57, 2 Cu 3.44
Ac: 0.1941 0.3882 0.2500  10 Cd 3.42-3.57, 2 Cu 3.44
Ac: 0.0000 0.0000 0.0000  10 Cd 3.55-3.85, 4 Cu 3.65
Ac: 0.0000 0.0000 0.5000  10 Cd 3.55-3.85, 4 Cu 3.65
Cd: 0.1894 0.3788 0.8942  4 Cd 2.89-3.10
Cd: 0.8106 0.6212 0.1058  4 Cd 2.89-3.10
Cd: 0.1894 0.3788 0.6058  4 Cd 2.89-3.10
Cd: 0.8106 0.6212 0.3942  4 Cd 2.89-3.10
Cd: 0.3567 0.7134 0.9722  1 Cu 2.70, 3 Cd 2.90-2.94
Cd: 0.6433 0.2866 0.0278  1 Cu 2.70, 3 Cd 2.90-2.94
Cd: 0.3567 0.7134 0.5278  1 Cu 2.70, 3 Cd 2.90-2.94
Cd: 0.6433 0.2866 0.4722  1 Cu 2.70, 3 Cd 2.90-2.94
Cd: 0.5902 0.1804 0.7500  1 Cu 2.66, 2 Cd 2.94
Cd: 0.4098 0.8196 0.2500  1 Cu 2.66, 2 Cd 2.94
Cu: 0.4419 0.8837 0.7500  3 Cd 2.66-2.70
Cu: 0.5581 0.1163 0.2500  3 Cd 2.66-2.70

Values from the calculation:
crystal system	orthorhombic
symmetry	No. 63
formation energy	-0.226	eV per atom
density of states at the Fermi level	10.587	states/eV per cell
V	27.36	Å³ per atom
energy	-37.39	eV for the cell shown



Entry 2:
AcCdCu | GGA-PBE | relaxed

Lattice parameters (Å, degrees): 4.3123 7.8673 7.8673 120.00 90.00 90.00
Last column: nearest neighbours and their distance in Å.
Fractional coordinates of all 9 atoms:
Ac: 0.5000 0.4157 0.4157  5 Cu 3.20-3.27, 6 Cd 3.49-3.57
Ac: 0.5000 0.0000 0.5843  5 Cu 3.20-3.27, 6 Cd 3.49-3.57
Ac: 0.5000 0.5843 0.0000  5 Cu 3.20-3.27, 6 Cd 3.49-3.57
Cd: 0.0000 0.7642 0.7642  4 Cu 2.84-3.08
Cd: 0.0000 0.0000 0.2358  4 Cu 2.84-3.08
Cd: 0.0000 0.2358 0.0000  4 Cu 2.84-3.08
Cu: 0.0000 0.3333 0.6667  3 Cd 3.08, 6 Ac 3.20
Cu: 0.0000 0.6667 0.3333  3 Cd 3.08, 6 Ac 3.20
Cu: 0.5000 0.0000 0.0000  6 Cd 2.84

Values from the calculation:
crystal system	hexagonal
symmetry	No. 189
formation energy	-0.238	eV per atom
density of states at the Fermi level	7.994	states/eV per cell
V	25.68	Å³ per atom
energy	-29.50	eV for the cell shown



Entry 3:
AcCd4Cu2 | GGA-PBE | relaxed

Lattice parameters (Å, degrees): 4.3601 4.4156 8.4612 105.13 90.00 90.00
Last column: nearest neighbours and their distance in Å.
Fractional coordinates of all 7 atoms:
Ac: 0.0000 0.0000 0.0000  8 Cu 3.34, 8 Cd 3.63-3.67
Cd: 0.5000 0.8220 0.6440  2 Cu 2.78, 4 Cd 3.10
Cd: 0.0000 0.6798 0.3596  2 Cu 2.77, 4 Cd 3.10
Cd: 0.5000 0.1780 0.3560  2 Cu 2.78, 4 Cd 3.10
Cd: 0.0000 0.3202 0.6404  2 Cu 2.77, 4 Cd 3.10
Cu: 0.5000 0.5750 0.1500  1 Cu 2.45
Cu: 0.5000 0.4250 0.8500  1 Cu 2.45

Values from the calculation:
crystal system	orthorhombic
symmetry	No. 65
formation energy	-0.170	eV per atom
density of states at the Fermi level	2.756	states/eV per cell
V	22.46	Å³ per atom
energy	-17.15	eV for the cell shown



Entry 4:
AcCdCu | GGA-PBE | relaxed

Lattice parameters (Å, degrees): 3.7625 3.7625 6.1085 107.94 107.94 90.00
Last column: nearest neighbours and their distance in Å.
Fractional coordinates of all 3 atoms:
Ac: 0.0062 0.0062 0.0124  5 Cd 3.26-3.47, 5 Cu 3.35-3.47
Cu: 0.6907 0.6907 0.3815  4 Cd 2.93
Cd: 0.3031 0.3031 0.6061  4 Cu 2.93, 1 Ac 3.26

Values from the calculation:
crystal system	tetragonal
symmetry	No. 107
formation energy	-0.050	eV per atom
density of states at the Fermi level	1.783	states/eV per cell
V	25.95	Å³ per atom
energy	-9.27	eV for the cell shown



Entry 5:
Ac8Cd2Cu | GGA-PBE | relaxed

Lattice parameters (Å, degrees): 5.6730 7.5212 10.3735 101.86 105.87 90.00
Last column: nearest neighbours and their distance in Å.
Fractional coordinates of all 11 atoms:
Ac: 0.4091 0.5500 0.8182  1 Cu 3.48, 4 Ac 3.77-3.86, 2 Cd 3.85
Ac: 0.6526 0.9683 0.3051  1 Cu 3.10, 3 Cd 3.45-3.46
Ac: 0.7952 0.6921 0.5903  3 Cd 3.35-3.62
Ac: 0.9799 0.2259 0.9598  2 Cu 3.37, 1 Cd 3.42, 3 Ac 3.65-3.77
Ac: 0.2048 0.3079 0.4097  3 Cd 3.35-3.62
Ac: 0.3474 0.0317 0.6949  1 Cu 3.10, 3 Cd 3.45-3.46
Ac: 0.5909 0.4500 0.1818  1 Cu 3.48, 4 Ac 3.77-3.86, 2 Cd 3.85
Ac: 0.0201 0.7741 0.0402  2 Cu 3.37, 1 Cd 3.42, 3 Ac 3.65-3.77
Cd: 0.8117 0.2579 0.6233  7 Ac 3.35-3.62
Cd: 0.1883 0.7421 0.3767  7 Ac 3.35-3.62
Cu: 0.5000 0.0000 0.0000  6 Ac 3.10-3.37

Values from the calculation:
crystal system	monoclinic
symmetry	No. 12
formation energy	-0.071	eV per atom
density of states at the Fermi level	11.606	states/eV per cell
V	37.81	Å³ per atom
energy	-39.57	eV for the cell shown



Entry 6:
Ac12Cd6Cu | GGA-PBE | relaxed

Lattice parameters (Å, degrees): 9.0417 9.0417 9.0417 93.56 93.56 93.56
Last column: nearest neighbours and their distance in Å.
Fractional coordinates of all 19 atoms:
Ac: 0.8035 0.5689 0.4561  4 Cd 3.40-3.58
Ac: 0.4561 0.8035 0.5689  4 Cd 3.40-3.58
Ac: 0.5689 0.4561 0.8035  4 Cd 3.40-3.58
Ac: 0.1965 0.4311 0.5439  4 Cd 3.40-3.58
Ac: 0.5439 0.1965 0.4311  4 Cd 3.40-3.58
Ac: 0.4311 0.5439 0.1965  4 Cd 3.40-3.58
Ac: 0.9691 0.0928 0.3188  1 Cu 2.99
Ac: 0.9072 0.6812 0.0309  1 Cu 2.99
Ac: 0.6812 0.0309 0.9072  1 Cu 2.99
Ac: 0.0309 0.9072 0.6812  1 Cu 2.99
Ac: 0.0928 0.3188 0.9691  1 Cu 2.99
Ac: 0.3188 0.9691 0.0928  1 Cu 2.99
Cd: 0.6584 0.8586 0.2585  8 Ac 3.40-3.63
Cd: 0.7415 0.3416 0.1414  8 Ac 3.40-3.63
Cd: 0.1414 0.7415 0.3416  8 Ac 3.40-3.63
Cd: 0.3416 0.1414 0.7415  8 Ac 3.40-3.63
Cd: 0.2585 0.6584 0.8586  8 Ac 3.40-3.63
Cd: 0.8586 0.2585 0.6584  8 Ac 3.40-3.63
Cu: 0.0000 0.0000 0.0000  6 Ac 2.99

Values from the calculation:
crystal system	trigonal
symmetry	No. 148
formation energy	-0.058	eV per atom
density of states at the Fermi level	29.421	states/eV per cell
V	38.67	Å³ per atom
energy	-59.98	eV for the cell shown



Entry 7:
AcCdCu | GGA-PBE | relaxed

Lattice parameters (Å, degrees): 6.7076 6.9004 8.5668 126.03 90.00 90.00
Last column: nearest neighbours and their distance in Å.
Fractional coordinates of all 12 atoms:
Ac: 0.3554 0.7917 0.5712  4 Cu 3.14-3.28, 2 Cd 3.43-3.49
Ac: 0.6446 0.2083 0.4288  4 Cu 3.14-3.28, 2 Cd 3.43-3.49
Ac: 0.1446 0.7917 0.0712  4 Cu 3.14-3.28, 2 Cd 3.43-3.49
Ac: 0.8554 0.2083 0.9288  4 Cu 3.14-3.28, 2 Cd 3.43-3.50
Cd: 0.3655 0.2501 0.0849  3 Cu 2.67-2.74
Cd: 0.6345 0.7499 0.9151  3 Cu 2.67-2.74
Cd: 0.8655 0.7499 0.4151  3 Cu 2.67-2.74
Cd: 0.1345 0.2501 0.5849  3 Cu 2.67-2.74
Cu: 0.9339 0.6475 0.6715  1 Cu 2.56, 3 Cd 2.67-2.74
Cu: 0.5661 0.6475 0.1715  1 Cu 2.56, 3 Cd 2.67-2.74
Cu: 0.0661 0.3525 0.3285  1 Cu 2.56, 3 Cd 2.67-2.74
Cu: 0.4339 0.3525 0.8285  1 Cu 2.56, 3 Cd 2.67-2.74

Values from the calculation:
crystal system	monoclinic
symmetry	No. 14
formation energy	-0.203	eV per atom
density of states at the Fermi level	8.543	states/eV per cell
V	26.72	Å³ per atom
energy	-38.91	eV for the cell shown



Entry 8:
Ac6CdCu2 | GGA-PBE | relaxed

Lattice parameters (Å, degrees): 9.3995 9.3995 9.3995 105.78 108.69 114.05
Last column: nearest neighbours and their distance in Å.
Fractional coordinates of all 18 atoms:
Ac: 0.5352 0.7141 0.8211  3 Cu 3.21-3.42, 1 Cd 3.52
Ac: 0.4648 0.2859 0.1789  3 Cu 3.21-3.42, 1 Cd 3.52
Ac: 0.1070 0.2859 0.8211  3 Cu 3.21-3.42, 1 Cd 3.52
Ac: 0.8930 0.7141 0.1789  3 Cu 3.21-3.42, 1 Cd 3.52
Ac: 0.8107 0.7620 0.5727  1 Cu 3.17, 1 Cd 3.40
Ac: 0.1893 0.2380 0.4273  1 Cu 3.17, 1 Cd 3.40
Ac: 0.1893 0.7620 0.9513  1 Cu 3.17, 1 Cd 3.40
Ac: 0.8107 0.2380 0.0487  1 Cu 3.17, 1 Cd 3.40
Ac: 0.6875 0.3611 0.6736  3 Cu 3.08-3.25
Ac: 0.3125 0.6389 0.3264  3 Cu 3.08-3.25
Ac: 0.3125 0.9861 0.6736  3 Cu 3.08-3.25
Ac: 0.6875 0.0139 0.3264  3 Cu 3.08-3.25
Cd: 0.0000 0.5000 0.5000  8 Ac 3.62-3.76
Cd: 0.0000 0.0000 0.0000  8 Ac 3.40-3.52, 2 Cu 3.74
Cu: 0.5000 0.3861 0.8861  1 Cu 2.58
Cu: 0.5000 0.6139 0.1139  1 Cu 2.58
Cu: 0.6586 0.0000 0.6586  8 Ac 3.17-3.42, 1 Cu 3.48
Cu: 0.3414 0.0000 0.3414  8 Ac 3.17-3.42, 1 Cu 3.48

Values from the calculation:
crystal system	orthorhombic
symmetry	No. 71
formation energy	-0.099	eV per atom
density of states at the Fermi level	21.511	states/eV per cell
V	35.32	Å³ per atom
energy	-69.30	eV for the cell shown



Entry 9:
Ac2Cd5Cu4 | GGA-PBE | relaxed

Lattice parameters (Å, degrees): 5.9043 7.2370 7.3186 69.21 66.21 65.93
Last column: nearest neighbours and their distance in Å.
Fractional coordinates of all 11 atoms:
Ac: 0.2823 0.7666 0.6689  6 Cu 3.16-3.48
Ac: 0.7177 0.2334 0.3311  6 Cu 3.16-3.48
Cd: 0.2150 0.2279 0.8477  4 Cu 2.66-2.94, 1 Cd 2.92
Cd: 0.7850 0.7721 0.1523  4 Cu 2.66-2.94, 1 Cd 2.92
Cd: 0.0000 0.5000 0.5000  2 Cu 2.78, 4 Cd 3.00
Cd: 0.7094 0.2279 0.8477  4 Cu 2.66-2.94, 1 Cd 2.92
Cd: 0.2906 0.7721 0.1523  4 Cu 2.66-2.94, 1 Cd 2.92
Cu: 0.3431 0.0792 0.2345  1 Cu 2.39, 2 Cd 2.66
Cu: 0.6569 0.9208 0.7655  1 Cu 2.39, 2 Cd 2.66
Cu: 0.7733 0.5538 0.8997  1 Cu 2.39
Cu: 0.2267 0.4462 0.1003  1 Cu 2.39

Values from the calculation:
crystal system	monoclinic
symmetry	No. 12
formation energy	-0.125	eV per atom
density of states at the Fermi level	5.617	states/eV per cell
V	23.13	Å³ per atom
energy	-30.55	eV for the cell shown



Entry 10:
Ac3CdCu | GGA-PBE | relaxed

Lattice parameters (Å, degrees): 6.4942 8.9028 6.4690 96.79 111.09 94.95
Last column: nearest neighbours and their distance in Å.
Fractional coordinates of all 10 atoms:
Ac: 0.6231 0.8545 0.5075  2 Cu 3.32-3.41, 3 Cd 3.36-3.52
Ac: 0.7267 0.4297 0.2582  1 Cu 3.10, 1 Cd 3.42
Ac: 0.9992 0.0562 0.2456  2 Cu 3.15-3.41, 1 Cd 3.42
Ac: 0.0658 0.6440 0.9697  2 Cu 3.07-3.29, 2 Cd 3.33-3.39
Ac: 0.3735 0.4281 0.6357  2 Cu 3.10-3.30, 1 Cd 3.44
Ac: 0.3667 0.0536 0.9133  2 Cu 3.15-3.21, 1 Cd 3.39
Cd: 0.1159 0.7455 0.5086  8 Ac 3.33-3.44, 1 Cu 3.52
Cd: 0.8458 0.2392 0.7314  1 Cu 2.76
Cu: 0.5982 0.7492 0.9891  8 Ac 3.21-3.51, 1 Cd 3.52
Cu: 0.2163 0.3433 0.1179  1 Cd 2.76, 1 Ac 3.07

Values from the calculation:
crystal system	triclinic
symmetry	No. 1
formation energy	-0.083	eV per atom
density of states at the Fermi level	11.389	states/eV per cell
V	34.31	Å³ per atom
energy	-35.50	eV for the cell shown



Entry 11:
AcCd2Cu | GGA-PBE | relaxed

Lattice parameters (Å, degrees): 3.5882 3.5882 10.4376 80.10 80.10 60.00
Last column: nearest neighbours and their distance in Å.
Fractional coordinates of all 4 atoms:
Ac: 0.0000 0.0000 0.0000  2 Cd 3.35, 6 Ac 3.59
Cu: 0.5000 0.5000 0.5000  6 Cd 2.72
Cd: 0.1093 0.1093 0.6721  3 Cu 2.72
Cd: 0.8907 0.8907 0.3279  3 Cu 2.72

Values from the calculation:
crystal system	trigonal
symmetry	No. 166
formation energy	0.355	eV per atom
density of states at the Fermi level	1.869	states/eV per cell
V	28.52	Å³ per atom
energy	-8.61	eV for the cell shown



Entry 12:
AcCd3Cu | GGA-PBE | relaxed

Lattice parameters (Å, degrees): 5.0707 5.0707 5.0707 90.00 90.00 90.00
Last column: nearest neighbours and their distance in Å.
Fractional coordinates of all 5 atoms:
Ac: 0.5000 0.5000 0.5000  12 Cd 3.59
Cu: 0.0000 0.0000 0.0000  6 Cd 2.54
Cd: 0.0000 0.5000 0.0000  2 Cu 2.54
Cd: 0.0000 0.0000 0.5000  2 Cu 2.54
Cd: 0.5000 0.0000 0.0000  2 Cu 2.54

Values from the calculation:
crystal system	cubic
symmetry	No. 221
formation energy	-0.094	eV per atom
density of states at the Fermi level	2.678	states/eV per cell
V	26.08	Å³ per atom
energy	-11.42	eV for the cell shown



- Which of these has the lowest V?
  AcCd4Cu2



- What is the energy in the ninth record?
  -30.55 eV for the cell shown



- Which formula does entry 6 have?
  Ac12Cd6Cu



- Which value of energy does entry 10 give?
  -35.50 eV for the cell shown